Record 1
MgRe2Ru PBE optimized geometry; formation enthalpy at 0 K = 0.20 eV/atom; N(E_F) = 0.519 states/eV/atom
1.0
2.7384 0.0000 0.0000
0.0000 4.3267 0.0000
-0.8733 0.0000 5.0811
Mg Re Ru
1 2 1
Direct
0.0000 0.0000 0.0000
0.5315 0.0000 0.5003
0.6768 0.5000 0.2509
0.2263 0.5000 0.7541

Record 2
La2ZrMnCu PBE optimized geometry; formation enthalpy at 0 K = 0.38 eV/atom; N(E_F) = 1.297 states/eV/atom
1.0
5.1658 0.0000 0.0000
0.0000 5.1658 0.0000
0.0000 0.0000 4.9084
La Zr Mn Cu
2 1 1 1
Direct
0.0000 0.5000 0.0000
0.5000 0.0000 0.0000
0.0000 0.0000 0.5000
0.0000 0.0000 0.0000
0.5000 0.5000 0.5000

Record 3
ThTlI PBE optimized geometry; N(E_F) = 1.052 states/eV/atom
1.0
5.4422 0.0000 0.0000
-2.7211 4.7130 0.0000
0.0000 0.0000 3.7499
Th Tl I
1 1 1
Direct
0.0000 0.0000 0.0000
0.6667 0.3333 0.5000
0.3333 0.6667 0.0000

Record 4
Nd2DyEr3S6 PBE optimized geometry; N(E_F) = 0.412 states/eV/atom
1.0
8.6096 -1.9551 0.0000
8.6096 1.9551 0.0000
-1.9530 0.0000 7.7134
Nd Dy Er S
2 1 3 6
Direct
0.1675 0.1675 0.3351
0.8325 0.8325 0.6649
0.5000 0.5000 0.0000
0.1686 0.1686 0.8334
0.5000 0.5000 0.5000
0.8314 0.8314 0.1666
0.0047 0.0047 0.7497
0.3333 0.3333 0.9296
0.3380 0.3380 0.4056
0.6620 0.6620 0.5944
0.6667 0.6667 0.0704
0.9953 0.9953 0.2503

Record 5
CrGaSn2Hg PBE optimized geometry; formation enthalpy at 0 K = 0.59 eV/atom; N(E_F) = 0.684 states/eV/atom
1.0
5.3196 0.0000 0.0000
0.0000 5.3196 0.0000
0.0000 0.0000 4.9435
Cr Ga Sn Hg
1 1 2 1
Direct
0.0000 0.0000 0.0000
0.0000 0.0000 0.5000
0.0000 0.5000 0.5000
0.5000 0.0000 0.5000
0.5000 0.5000 0.0000

Record 6
MgNb2AgCl PBE optimized geometry; N(E_F) = 1.210 states/eV/atom
1.0
5.1213 0.0000 0.0000
0.0000 5.1213 0.0000
0.0000 0.0000 4.7684
Mg Nb Ag Cl
1 2 1 1
Direct
0.0000 0.0000 0.0000
0.0000 0.5000 0.0000
0.5000 0.0000 0.0000
0.0000 0.0000 0.5000
0.5000 0.5000 0.5000

Record 7
Ba6Na2Pd3 PBE optimized geometry; formation enthalpy at 0 K = -0.30 eV/atom; N(E_F) = 0.494 states/eV/atom
1.0
4.0063 -6.9314 0.0000
4.0063 6.9314 0.0000
-2.6366 0.0000 9.7015
Ba Na Pd
6 2 3
Direct
0.1075 0.4398 0.8205
0.2249 0.2249 0.1796
0.4398 0.1075 0.8205
0.5602 0.8925 0.1795
0.7751 0.7751 0.8204
0.8925 0.5602 0.1795
0.3336 0.6664 0.5000
0.6664 0.3336 0.5000
0.1671 0.8329 0.0000
0.5000 0.5000 0.0000
0.8329 0.1671 0.0000

Record 8
La2Pr4Y PBE optimized geometry; formation enthalpy at 0 K = 0.01 eV/atom; N(E_F) = 1.521 states/eV/atom
1.0
1.8631 1.0757 20.9088
-1.8631 1.0757 20.9088
0.0000 -2.1514 20.9088
La Pr Y
2 4 1
Direct
0.0947 0.0947 0.0947
0.9053 0.9053 0.9053
0.1910 0.1910 0.1910
0.3800 0.3800 0.3800
0.6200 0.6200 0.6200
0.8090 0.8090 0.8090
0.0000 0.0000 0.0000

Record 9
CaAcMgZn PBE optimized geometry; formation enthalpy at 0 K = -0.14 eV/atom; N(E_F) = 0.798 states/eV/atom
1.0
0.0000 3.9325 3.9325
3.9325 0.0000 3.9325
3.9325 3.9325 0.0000
Ca Ac Mg Zn
1 1 1 1
Direct
0.0000 0.0000 0.0000
0.5000 0.5000 0.5000
0.2500 0.2500 0.2500
0.7500 0.7500 0.7500

Record 10
Li2CaOs PBE optimized geometry; formation enthalpy at 0 K = 0.50 eV/atom; N(E_F) = 0.507 states/eV/atom
1.0
0.0000 3.2374 3.2374
3.2374 0.0000 3.2374
3.2374 3.2374 0.0000
Li Ca Os
2 1 1
Direct
0.2500 0.2500 0.2500
0.7500 0.7500 0.7500
0.0000 0.0000 0.0000
0.5000 0.5000 0.5000

Record 11
K3Te4As2 PBE optimized geometry; N(E_F) = 0.349 states/eV/atom
1.0
8.2610 -4.7549 0.0000
8.2610 4.7549 0.0000
-0.5666 0.0000 9.4964
K Te As
6 8 4
Direct
0.0191 0.9809 0.7500
0.2530 0.4775 0.1288
0.4775 0.2530 0.6288
0.5225 0.7470 0.3712
0.7470 0.5225 0.8712
0.9809 0.0191 0.2500
0.1754 0.2492 0.8374
0.2205 0.6543 0.4922
0.2492 0.1754 0.3374
0.3457 0.7795 0.0078
0.6543 0.2205 0.9922
0.7508 0.8246 0.6626
0.7795 0.3457 0.5078
0.8246 0.7508 0.1626
0.0464 0.3545 0.5379
0.3545 0.0464 0.0379
0.6455 0.9536 0.9621
0.9536 0.6455 0.4621

Record 12
Tb3Nd2Sm6Ho PBE optimized geometry; formation enthalpy at 0 K = 0.01 eV/atom; N(E_F) = 1.331 states/eV/atom
1.0
3.1284 -5.4166 0.0000
3.1284 5.4166 0.0000
-2.0847 0.0000 11.7926
Tb Nd Sm Ho
3 2 6 1
Direct
0.0000 0.0000 0.0000
0.3336 0.6664 0.0000
0.6664 0.3336 0.0000
0.1666 0.8334 0.5000
0.8334 0.1666 0.5000
0.0837 0.4160 0.2481
0.2517 0.2517 0.7522
0.4160 0.0837 0.2481
0.5840 0.9163 0.7519
0.7483 0.7483 0.2478
0.9163 0.5840 0.7519
0.5000 0.5000 0.5000

The calculation returns the following E_tot values, one per record and in order: -34.95; -29.75; -11.89; -76.42; -18.01; -18.53; -33.04; -35.39; -9.54; -15.06; -60.31; -56.15 eV/cell.